(1)
A plane-wave DFT calculation with PBE-GGA was carried out for a relaxed Li3Cu4P4 crystal.

The density of states at the Fermi level comes out at 0.310 states/eV per atom. For the total magnetization, the calculation gives 0.000 μB/f.u. The calculation puts the calculated formation energy at -4.1 eV per formula unit.

The structure belongs to space group Immm (No. 71); the cell edges are 3.843, 6.394 and 12.505 Å and the angles 90.00°, 90.00° and 90.00°. The asymmetric unit holds Li at (0.000, 0.000, 0.000), Li at (0.000, 0.500, 0.121), Cu at (0.000, 0.301, 0.328), P at (0.000, 0.000, 0.220) and P at (0.000, 0.171, 0.500).

=====

(2)
A plane-wave DFT calculation with PBE-GGA was carried out for a relaxed LiCuP crystal.

The density of states at the Fermi level comes out at 0.216 states/eV per atom. For the total magnetization, the calculation gives 0.000 μB/f.u. The calculation puts the calculated formation energy at -1.1 eV per formula unit.

The structure belongs to space group C2 (No. 5); the cell edges are 7.036, 6.922 and 4.018 Å and the angles 90.00°, 124.71° and 90.00°. The asymmetric unit holds Li at (0.000, 0.000, 0.000), Li at (0.000, 0.457, 0.500), Cu at (0.243, 0.815, 0.744) and P at (0.202, 0.649, 0.202).

=====

(3)
A plane-wave DFT calculation with PBE-GGA was carried out for a relaxed Li2CuP2 crystal.

The density of states at the Fermi level comes out at 0.217 states/eV per atom. For the total magnetization, the calculation gives 0.000 μB/f.u. The calculation puts the calculated formation energy at -2.4 eV per formula unit.

The structure belongs to space group C2/m (No. 12); the cell edges are 9.737, 3.885 and 8.983 Å and the angles 90.00°, 120.08° and 90.00°. The asymmetric unit holds Li at (0.010, 0.000, 0.189), Li at (0.184, 0.000, 0.596), Cu at (0.225, 0.500, 0.870), P at (0.016, 0.500, 0.388) and P at (0.128, 0.500, 0.069).

=====

(4)
A plane-wave DFT calculation with PBE-GGA was carried out for a relaxed Li2CuP2 crystal.

The density of states at the Fermi level comes out at 0.224 states/eV per atom. For the total magnetization, the calculation gives 0.000 μB/f.u. The calculation puts the calculated formation energy at -2.3 eV per formula unit.

The structure belongs to space group P4/mbm (No. 127); the cell edges are 6.008, 6.008 and 4.028 Å and the angles 90.00°, 90.00° and 90.00°. The asymmetric unit holds Li at (0.172, 0.328, 0.000), Cu at (0.000, 0.000, 0.500) and P at (0.130, 0.630, 0.500).

=====

(5)
A plane-wave DFT calculation with PBE-GGA was carried out for a relaxed Li5Cu4P4 crystal.

The density of states at the Fermi level comes out at 0.544 states/eV per atom. For the total magnetization, the calculation gives 0.000 μB/f.u. The calculation puts the calculated formation energy at -5.0 eV per formula unit.

The structure belongs to space group I4/m (No. 87); the cell edges are 10.072, 10.072 and 3.679 Å and the angles 90.00°, 90.00° and 90.00°. The asymmetric unit holds Li at (0.000, 0.000, 0.000), Li at (0.139, 0.788, 0.500), Cu at (0.081, 0.388, 0.500) and P at (0.051, 0.252, 0.000).

=====

(6)
A plane-wave DFT calculation with PBE-GGA was carried out for a relaxed Li2Cu2P crystal.

The density of states at the Fermi level comes out at 0.359 states/eV per atom. For the total magnetization, the calculation gives 0.000 μB/f.u. The calculation puts the calculated formation energy at 2.2 eV per formula unit.

The structure belongs to space group P4/mmm (No. 123); the cell edges are 4.268, 4.268 and 4.473 Å and the angles 90.00°, 90.00° and 90.00°. The asymmetric unit holds Li at (0.000, 0.500, 0.000), Cu at (0.000, 0.000, 0.000), Cu at (0.000, 0.000, 0.500) and P at (0.500, 0.500, 0.500).

=====

(7)
A plane-wave DFT calculation with PBE-GGA was carried out for a relaxed LiCuP3 crystal.

The density of states at the Fermi level comes out at 0.525 states/eV per atom. For the total magnetization, the calculation gives 0.000 μB/f.u. The calculation puts the calculated formation energy at 3.0 eV per formula unit.

The structure belongs to space group Pm-3m (No. 221); the cell edges are 4.559, 4.559 and 4.559 Å and the angles 90.00°, 90.00° and 90.00°. The asymmetric unit holds Li at (0.000, 0.000, 0.000), Cu at (0.500, 0.500, 0.500) and P at (0.000, 0.500, 0.500).

=====

(8)
A plane-wave DFT calculation with PBE-GGA was carried out for a relaxed LiCuP crystal.

The density of states at the Fermi level comes out at 0.237 states/eV per atom. For the total magnetization, the calculation gives 0.000 μB/f.u. The calculation puts the calculated formation energy at -0.1 eV per formula unit.

The structure belongs to space group I4mm (No. 107); the cell edges are 2.588, 2.588 and 11.848 Å and the angles 90.00°, 90.00° and 90.00°. The asymmetric unit holds Li at (0.000, 0.000, 0.000), Cu at (0.000, 0.000, 0.674) and P at (0.000, 0.000, 0.335).